DFT (PBE with a Hubbard U) results for CrAg3F after structural relaxation.

The excess energy over the best structure of this formula in the dataset comes out at 569.0 meV/atom. Its energy is -2.896 eV per atom. The density of states at the Fermi level comes out at 2.6 states/eV/cell.

abc: 5.1259 5.1259 5.1259
angles: 90.00 90.00 90.00
Space group Pm-3m (No. 221)
Inequivalent atoms, fractional coordinates:
Cr (0.0000, 0.0000, 0.0000)
Ag (0.0000, 0.0000, 0.5000)
F (0.5000, 0.5000, 0.5000)